Below is a geometry-optimized Ta2MnHRu structure, with properties calculated at the PBE-GGA level.

Cell: 4.3002 4.3002 3.4135 Å, 90.00 90.00 90.00°
Atoms (fractional coordinates):
Ta: 0.0000 0.5000 0.0000
Ta: 0.5000 0.0000 0.0000
Ru: 0.5000 0.5000 0.5000
H: 0.0000 0.0000 0.0000
Mn: 0.0000 0.0000 0.5000

Spin magnetization = 0.00 μB per cell
Theoretical density = 13.651 g/cm³
E above lowest polymorph = 0.000 eV per atom
VASP energy = -9.269 eV per atom